Arrangement A

SrLi2HgPt: relaxed, PBE-GGA.

SG = P4/mmm
total magnetization = 0.0 Bohr magnetons per cell

abc: 4.834 4.834 5.332
angles: 90.00 90.00 90.00
Element x y z (fractional)
1 Li 0.500 0.000 0.000
2 Li 0.000 0.500 0.000
3 Sr 0.500 0.500 0.500
4 Pt 0.000 0.000 0.000
5 Hg 0.000 0.000 0.500

***

Arrangement B

SrLi2HgPt: relaxed, PBE-GGA.

SG = P4/mmm
total magnetization = 0.0 Bohr magnetons per cell

abc: 4.917 5.764 4.917
angles: 90.00 90.00 90.00
Element x y z (fractional)
1 Hg 0.500 0.500 0.500
2 Sr 0.000 0.500 0.000
3 Li 0.500 0.000 0.000
4 Li 0.000 0.000 0.500
5 Pt 0.000 0.000 0.000

***

Pick arrangement A: it beats the second-best structure by 54 meV/atom.

***

Arrangement A

LiPu2Hg6: relaxed, PBE-GGA.

SG = P6/mmm
total magnetization = 11.5 Bohr magnetons per cell

abc: 3.137 8.851 8.851
angles: 60.01 89.95 89.95
Last column: magnetic moment on the atom in μB.
Element x y z (fractional)
1 Hg 0.499 0.000 0.673  0.01
2 Hg 0.500 0.672 0.328  0.01
3 Hg 0.501 0.000 0.327  0.01
4 Hg 0.500 0.328 0.672  0.01
5 Hg 0.501 0.327 0.000  0.01
6 Hg 0.499 0.673 0.000  0.01
7 Pu 0.000 0.333 0.333  -5.58
8 Pu 0.000 0.667 0.667  -5.58
9 Li 0.000 0.000 0.000  0.01

***

Arrangement B

LiPu2Hg6: relaxed, PBE-GGA.

SG = P-62m
total magnetization = 12.4 Bohr magnetons per cell

abc: 3.202 8.893 8.893
angles: 120.00 90.00 90.00
Last column: magnetic moment on the atom in μB.
Element x y z (fractional)
1 Pu 0.500 0.333 0.667  5.73
2 Pu 0.500 0.667 0.333  5.73
3 Hg 0.500 0.000 0.722  0.01
4 Hg 0.000 0.645 0.645  0.02
5 Hg 0.500 0.722 0.000  0.01
6 Hg 0.000 0.355 0.000  0.02
7 Hg 0.000 0.000 0.355  0.02
8 Hg 0.500 0.278 0.278  0.01
9 Li 0.000 0.000 0.000  0.00

***

Pick arrangement A: it beats the second-best structure by 92 meV/atom.

***

Arrangement A

LiPuHg6: relaxed, PBE-GGA.

SG = R-3m
total magnetization = 5.9 Bohr magnetons per cell

abc: 5.160 5.160 8.775
angles: 72.90 72.90 60.00
Last column: magnetic moment on the atom in μB.
Element x y z (fractional)
1 Hg 0.884 0.884 0.348  0.02
2 Hg 0.244 0.244 0.267  0.00
3 Hg 0.633 0.633 0.102  0.01
4 Hg 0.756 0.756 0.733  0.00
5 Hg 0.116 0.116 0.652  0.02
6 Hg 0.367 0.367 0.898  0.01
7 Pu 0.500 0.500 0.500  5.53
8 Li 0.000 0.000 0.000  -0.01

***

Arrangement B

LiPuHg6: relaxed, PBE-GGA.

SG = Amm2
total magnetization = 5.9 Bohr magnetons per cell

abc: 5.130 6.623 6.623
angles: 120.00 90.00 90.00
Last column: magnetic moment on the atom in μB.
Element x y z (fractional)
1 Hg 0.500 0.422 0.086  0.01
2 Hg 0.000 0.091 0.420  0.02
3 Hg 0.500 0.914 0.578  0.01
4 Hg 0.000 0.579 0.421  0.02
5 Hg 0.500 0.914 0.086  0.01
6 Hg 0.000 0.580 0.909  0.02
7 Li 0.500 0.416 0.584  0.00
8 Pu 0.000 0.084 0.916  5.52

***

Pick arrangement B: it beats the second-best structure by 18 meV/atom.

***

Arrangement A

LiPuSnHg: relaxed, PBE-GGA.

SG = P4mm
total magnetization = 5.7 Bohr magnetons per cell

abc: 3.417 3.417 7.680
angles: 90.00 90.00 90.00
Last column: magnetic moment on the atom in μB.
Element x y z (fractional)
1 Pu 0.000 0.000 0.068  -5.51
2 Sn 0.500 0.500 0.359  0.04
3 Hg 0.500 0.500 0.778  0.01
4 Li 0.000 0.000 0.580  0.01

***

Arrangement B

LiPuSnHg: relaxed, PBE-GGA.

SG = F-43m
total magnetization = 5.4 Bohr magnetons per cell

abc: 5.146 5.146 5.146
angles: 60.00 60.00 60.00
Last column: magnetic moment on the atom in μB.
Element x y z (fractional)
1 Pu 0.000 0.000 0.000  5.29
2 Li 0.500 0.500 0.500  0.00
3 Sn 0.250 0.250 0.250  -0.07
4 Hg 0.750 0.750 0.750  0.01

***

Pick arrangement A: it beats the second-best structure by 37 meV/atom.

***

Arrangement A

Rb2Li2Hg: relaxed, PBE-GGA.

SG = P4/mbm
total magnetization = 0.0 Bohr magnetons per cell

abc: 7.816 7.816 6.333
angles: 90.00 90.00 90.00
Element x y z (fractional)
1 Li 0.351 0.851 0.000
2 Li 0.851 0.649 0.000
3 Li 0.649 0.149 0.000
4 Li 0.149 0.351 0.000
5 Rb 0.190 0.690 0.500
6 Rb 0.810 0.310 0.500
7 Rb 0.690 0.810 0.500
8 Rb 0.310 0.190 0.500
9 Hg 0.500 0.500 0.000
10 Hg 0.000 0.000 0.000

***

Arrangement B

Rb2Li2Hg: relaxed, PBE-GGA.

SG = I4/mmm
total magnetization = 0.0 Bohr magnetons per cell

abc: 7.227 7.227 6.650
angles: 57.09 57.09 90.00
Element x y z (fractional)
1 Li 0.670 0.670 0.661
2 Li 0.330 0.330 0.339
3 Rb 0.750 0.250 0.500
4 Rb 0.250 0.750 0.500
5 Hg 0.000 0.000 0.000

***

Pick arrangement A: it beats the second-best structure by 61 meV/atom.

***

Arrangement A

RbLiHg2: relaxed, PBE-GGA.

SG = P4/mmm
total magnetization = 0.0 Bohr magnetons per cell

abc: 4.092 5.607 5.607
angles: 90.00 90.00 90.00
Element x y z (fractional)
1 Rb 0.500 0.500 0.500
2 Hg 0.000 0.500 0.000
3 Hg 0.000 0.000 0.500
4 Li 0.500 0.000 0.000

***

Arrangement B

RbLiHg2: relaxed, PBE-GGA.

SG = R-3m
total magnetization = 0.0 Bohr magnetons per cell

abc: 4.932 4.932 6.964
angles: 69.26 69.26 60.00
Element x y z (fractional)
1 Rb 0.500 0.500 0.500
2 Hg 0.696 0.696 0.911
3 Hg 0.304 0.304 0.089
4 Li 0.000 0.000 0.000

***

Arrangement C

RbLiHg2: relaxed, PBE-GGA.

SG = I4_1/amd
total magnetization = 0.0 Bohr magnetons per cell

abc: 5.910 5.910 10.133
angles: 73.04 73.04 90.00
Element x y z (fractional)
1 Hg 0.374 0.125 0.250
2 Hg 0.375 0.626 0.750
3 Hg 0.875 0.624 0.750
4 Hg 0.376 0.625 0.250
5 Li 0.250 0.750 0.500
6 Li 0.500 0.500 0.000
7 Rb 0.750 0.250 0.500
8 Rb 0.000 0.000 0.000

***

Arrangement D

RbLiHg2: relaxed, PBE-GGA.

SG = P4/mmm
total magnetization = 0.0 Bohr magnetons per cell

abc: 3.772 3.772 8.237
angles: 90.00 90.00 90.00
Element x y z (fractional)
1 Rb 0.500 0.500 0.500
2 Li 0.500 0.500 0.000
3 Hg 0.000 0.000 0.179
4 Hg 0.000 0.000 0.821

***

Pick arrangement B: it beats the second-best structure by 14 meV/atom.

***

Arrangement A

RbLiHg2: relaxed, PBE-GGA.

SG = Fm-3m
total magnetization = 0.0 Bohr magnetons per cell

abc: 5.687 5.687 5.687
angles: 60.00 60.00 60.00
Element x y z (fractional)
1 Rb 0.500 0.500 0.500
2 Hg 0.250 0.250 0.250
3 Hg 0.750 0.750 0.750
4 Li 0.000 0.000 0.000

***

Arrangement B

RbLiHg2: relaxed, PBE-GGA.

SG = R3m
total magnetization = 0.0 Bohr magnetons per cell

abc: 4.909 4.909 7.094
angles: 69.76 69.76 60.00
Element x y z (fractional)
1 Hg 0.023 0.023 0.931
2 Hg 0.303 0.303 0.091
3 Rb 0.496 0.496 0.513
4 Li 0.678 0.678 0.966

***

Pick arrangement B: it beats the second-best structure by 117 meV/atom.

***

Arrangement A

RbLi3Hg: relaxed, PBE-GGA.

SG = Pm-3m
total magnetization = 0.0 Bohr magnetons per cell

abc: 5.426 5.426 5.426
angles: 90.00 90.00 90.00
Element x y z (fractional)
1 Li 0.500 0.000 0.000
2 Li 0.000 0.000 0.500
3 Li 0.000 0.500 0.000
4 Rb 0.500 0.500 0.500
5 Hg 0.000 0.000 0.000

***

Arrangement B

RbLi3Hg: relaxed, PBE-GGA.

SG = Pm-3m
total magnetization = 0.0 Bohr magnetons per cell

abc: 6.021 6.021 6.021
angles: 90.00 90.00 90.00
Element x y z (fractional)
1 Hg 0.500 0.500 0.500
2 Li 0.000 0.500 0.000
3 Li 0.000 0.000 0.500
4 Li 0.500 0.000 0.000
5 Rb 0.000 0.000 0.000

***

Pick arrangement A: it beats the second-best structure by 745 meV/atom.

***

Arrangement A

RbLiSnHg2: relaxed, PBE-GGA.

SG = P4/mmm
total magnetization = 0.0 Bohr magnetons per cell

abc: 5.386 5.386 5.207
angles: 90.00 90.00 90.00
Element x y z (fractional)
1 Hg 0.500 0.000 0.000
2 Hg 0.000 0.500 0.000
3 Sn 0.000 0.000 0.500
4 Li 0.000 0.000 0.000
5 Rb 0.500 0.500 0.500

***

Arrangement B

RbLiSnHg2: relaxed, PBE-GGA.

SG = P4/mmm
total magnetization = 0.0 Bohr magnetons per cell

abc: 5.895 5.895 5.363
angles: 90.00 90.00 90.00
Element x y z (fractional)
1 Sn 0.000 0.000 0.000
2 Li 0.000 0.000 0.500
3 Hg 0.500 0.000 0.000
4 Hg 0.000 0.500 0.000
5 Rb 0.500 0.500 0.500

***

Pick arrangement B: it beats the second-best structure by 18 meV/atom.

***

Arrangement A

LiReHg2: relaxed, PBE-GGA.

SG = Fm-3m
total magnetization = 2.0 Bohr magnetons per cell

abc: 4.688 4.688 4.688
angles: 60.00 60.00 60.00
Last column: magnetic moment on the atom in μB.
Element x y z (fractional)
1 Re 0.500 0.500 0.500  1.79
2 Li 0.000 0.000 0.000  -0.02
3 Hg 0.250 0.250 0.250  0.01
4 Hg 0.750 0.750 0.750  0.01

***

Arrangement B

LiReHg2: relaxed, PBE-GGA.

SG = Imm2
total magnetization = 0.0 Bohr magnetons per cell

abc: 5.774 5.774 5.774
angles: 150.94 129.90 58.97
Element x y z (fractional)
1 Hg 0.995 0.995 0.000
2 Hg 0.260 0.760 0.500
3 Li 0.501 0.501 0.000
4 Re 0.744 0.244 0.500

***

Arrangement C

LiReHg2: relaxed, PBE-GGA.

SG = Pmmm
total magnetization = 0.0 Bohr magnetons per cell

abc: 2.824 4.187 6.030
angles: 90.00 90.00 90.00
Element x y z (fractional)
1 Li 0.500 0.500 0.250
2 Hg 0.000 0.000 0.500
3 Hg 0.000 0.000 0.000
4 Re 0.500 0.500 0.750

***

Pick arrangement C: it beats the second-best structure by 13 meV/atom.

***

Arrangement A

LiReHg2: relaxed, PBE-GGA.

SG = Immm
total magnetization = 0.0 Bohr magnetons per cell

abc: 5.573 5.573 5.573
angles: 149.70 125.09 64.01
Element x y z (fractional)
1 Hg 0.017 0.017 0.000
2 Hg 0.483 0.483 0.000
3 Li 0.250 0.750 0.500
4 Re 0.750 0.250 0.500

***

Arrangement B

LiReHg2: relaxed, PBE-GGA.

SG = R-3m
total magnetization = 0.0 Bohr magnetons per cell

abc: 9.707 9.707 9.707
angles: 17.36 17.36 17.36
Element x y z (fractional)
1 Li 0.250 0.250 0.250
2 Hg 0.998 0.998 0.998
3 Hg 0.502 0.502 0.502
4 Re 0.750 0.750 0.750

***

Arrangement C

LiReHg2: relaxed, PBE-GGA.

SG = F-43m
total magnetization = 10.2 Bohr magnetons per cell

abc: 6.642 6.642 6.642
angles: 90.00 90.00 90.00
Last column: magnetic moment on the atom in μB.
Element x y z (fractional)
1 Li 0.000 0.500 0.000  0.00
2 Li 0.500 0.000 0.000  0.00
3 Li 0.500 0.500 0.500  0.00
4 Li 0.000 0.000 0.500  0.00
5 Hg 0.750 0.750 0.250  -0.01
6 Hg 0.750 0.250 0.750  -0.01
7 Hg 0.000 0.500 0.500  0.01
8 Hg 0.250 0.750 0.750  -0.01
9 Hg 0.500 0.500 0.000  0.01
10 Hg 0.500 0.000 0.500  0.01
11 Hg 0.000 0.000 0.000  0.01
12 Hg 0.250 0.250 0.250  -0.01
13 Re 0.750 0.250 0.250  2.19
14 Re 0.250 0.250 0.750  2.19
15 Re 0.250 0.750 0.250  2.19
16 Re 0.750 0.750 0.750  2.19

***

Arrangement D

LiReHg2: relaxed, PBE-GGA.

SG = P4mm
total magnetization = 0.0 Bohr magnetons per cell

abc: 2.784 2.784 9.506
angles: 90.00 90.00 90.00
Element x y z (fractional)
1 Li 0.000 0.000 0.513
2 Hg 0.500 0.500 0.280
3 Hg 0.000 0.000 0.977
4 Re 0.500 0.500 0.729

***

Pick arrangement B: it beats the second-best structure by 61 meV/atom.